1.
{"formula": "ScFeP2", "functional": "GGA-PBE", "state": "relaxed", "dft_energy_ev_per_atom": -7.040, "rho_g_cm3": 4.0, "e_form_ev_per_atom": -0.637, "e_above_lowest_polymorph_mev_per_atom": 145.5, "lattice_angstrom": [[4.0172, 0.0000, 0.0000], [0.0000, 3.4729, 0.0104], [0.0000, 1.7226, 4.8858]], "species": ["Fe", "P", "P", "Sc"], "frac_coords": [[0.5000, 0.8181, 0.9889], [0.0000, 0.8912, 0.8429], [0.5000, 0.1862, 0.2526], [0.0000, 0.6045, 0.4156]]}

***

2.
{"formula": "ScFeP2", "functional": "GGA-PBE", "state": "relaxed", "dft_energy_ev_per_atom": -6.846, "rho_g_cm3": 3.9, "e_form_ev_per_atom": -0.443, "e_above_lowest_polymorph_mev_per_atom": 339.4, "lattice_angstrom": [[-1.2944, -2.3923, -3.4530], [3.8716, -2.0816, -0.0091], [-1.3379, -7.1411, 2.6512]], "species": ["Sc", "Sc", "P", "P", "P", "P", "Fe", "Fe"], "frac_coords": [[0.5000, 0.5000, 0.0000], [0.2500, 0.7500, 0.5000], [0.7581, 0.1250, 0.2500], [0.9919, 0.6250, 0.2500], [0.3750, 0.2419, 0.7500], [0.8750, 0.0081, 0.7500], [0.0000, 0.0000, 0.0000], [0.7500, 0.2500, 0.5000]]}

***

3.
{"formula": "ScFeP2", "functional": "GGA-PBE", "state": "relaxed", "dft_energy_ev_per_atom": -7.064, "rho_g_cm3": 4.6, "e_form_ev_per_atom": -0.661, "e_above_lowest_polymorph_mev_per_atom": 121.7, "lattice_angstrom": [[-4.1507, 2.7398, 3.7918], [-5.8963, -0.9553, 1.8529], [5.8976, -1.8434, -0.9659]], "species": ["Fe", "P", "P", "Sc"], "frac_coords": [[0.2094, 0.7094, 0.5000], [0.0615, 0.0615, 0.0000], [0.7791, 0.2791, 0.5000], [0.4500, 0.4500, 0.0000]]}

***

4.
{"formula": "ScFeP2", "functional": "GGA-PBE", "state": "relaxed", "dft_energy_ev_per_atom": -6.888, "rho_g_cm3": 4.6, "e_form_ev_per_atom": -0.484, "e_above_lowest_polymorph_mev_per_atom": 297.8, "lattice_angstrom": [[-2.4359, 3.7436, 0.4935], [-4.2947, 1.2108, 0.5306], [-0.4421, 0.3905, 4.5140]], "species": ["Fe", "P", "P", "Sc"], "frac_coords": [[0.2717, 0.2717, 0.1304], [0.9904, 0.9904, 0.0390], [0.7422, 0.7422, 0.7905], [0.4958, 0.4958, 0.5400]]}

***

5.
{"formula": "ScFeTcP2", "functional": "GGA-PBE", "state": "relaxed", "dft_energy_ev_per_atom": -8.049, "rho_g_cm3": 6.1, "e_form_ev_per_atom": -0.853, "lattice_angstrom": [[-0.8190, 2.2685, 3.1262], [-1.2264, -3.1830, 1.9885], [5.2795, -0.1919, -0.9711]], "species": ["Sc", "Fe", "Tc", "P", "P"], "frac_coords": [[0.0000, 0.0000, 0.0000], [0.2500, 0.7500, 0.5000], [0.7500, 0.2500, 0.5000], [0.6254, 0.6254, 0.2509], [0.3746, 0.3746, 0.7491]]}

***

6.
{"formula": "ScFeTeP2", "functional": "GGA-PBE", "state": "relaxed", "dft_energy_ev_per_atom": -5.025, "formation_energy_uncorrected_mev_per_atom": 726, "rho_g_cm3": 3.7, "lattice_angstrom": [[-4.3952, -0.2778, -2.0191], [-1.4349, -3.9575, 3.6681], [-1.6136, 3.4063, 3.0439]], "species": ["Sc", "P", "P", "Te", "Fe"], "frac_coords": [[0.0000, 0.0000, 0.0000], [0.0000, 0.0000, 0.5000], [0.5000, 0.0000, 0.0000], [0.0000, 0.5000, 0.0000], [0.5000, 0.5000, 0.5000]]}

***

7.
{"formula": "FePSe2", "functional": "GGA-PBE", "state": "relaxed", "dft_energy_ev_per_atom": -4.907, "formation_energy_uncorrected_mev_per_atom": 303, "rho_g_cm3": 4.4, "lattice_angstrom": [[-0.9704, -5.1290, 2.0344], [4.8182, 0.2191, 2.8504], [-0.9148, -0.0868, 7.0588]], "species": ["P", "P", "Fe", "Fe", "Se", "Se", "Se", "Se"], "frac_coords": [[0.5000, 0.5000, 0.0000], [0.2500, 0.7500, 0.5000], [0.0000, 0.0000, 0.0000], [0.7500, 0.2500, 0.5000], [0.6483, 0.1250, 0.2500], [0.1017, 0.6250, 0.2500], [0.3750, 0.3517, 0.7500], [0.8750, 0.8983, 0.7500]]}

***

8.
{"formula": "FePSe2", "functional": "GGA-PBE", "state": "relaxed", "dft_energy_ev_per_atom": -4.923, "formation_energy_uncorrected_mev_per_atom": 288, "rho_g_cm3": 5.9, "lattice_angstrom": [[-3.1817, 1.1096, 7.2990], [-5.5723, -0.3572, 5.7838], [-3.2128, -2.0700, 7.0727]], "species": ["Fe", "P", "Se", "Se"], "frac_coords": [[0.2500, 0.2500, 0.2500], [0.7500, 0.7500, 0.7500], [0.9836, 0.9836, 0.9836], [0.5164, 0.5164, 0.5164]]}

***

9.
{"formula": "FePSe2", "functional": "GGA-PBE", "state": "relaxed", "dft_energy_ev_per_atom": -5.131, "formation_energy_uncorrected_mev_per_atom": 79, "rho_g_cm3": 5.7, "lattice_angstrom": [[3.5904, 0.0000, 0.0000], [0.0000, 4.9846, 0.1042], [0.0000, 2.9072, 4.0495]], "species": ["Fe", "P", "Se", "Se"], "frac_coords": [[0.5000, 0.2500, 0.2500], [0.5000, 0.7500, 0.7500], [0.0000, 0.0731, 0.0731], [0.0000, 0.4269, 0.4269]]}

***

10.
{"formula": "FePSe2", "functional": "GGA-PBE", "state": "relaxed", "dft_energy_ev_per_atom": -4.771, "formation_energy_uncorrected_mev_per_atom": 440, "rho_g_cm3": 5.6, "lattice_angstrom": [[2.7689, 0.4323, 0.0000], [-0.4309, 2.7691, 0.0000], [0.0000, 0.0000, 9.2367]], "species": ["Fe", "P", "Se", "Se"], "frac_coords": [[0.5000, 0.5000, 0.2500], [0.5000, 0.5000, 0.7500], [0.0000, 0.0000, 0.0792], [0.0000, 0.0000, 0.4208]]}

***

11.
{"formula": "FePSe2", "functional": "GGA-PBE", "state": "relaxed", "dft_energy_ev_per_atom": -5.098, "formation_energy_uncorrected_mev_per_atom": 112, "rho_g_cm3": 5.1, "lattice_angstrom": [[2.7577, 0.0000, 0.0000], [0.0000, 2.7577, 0.0000], [0.0000, 0.0000, 10.4247]], "species": ["Fe", "P", "Se", "Se"], "frac_coords": [[0.0000, 0.0000, 0.4992], [0.5000, 0.5000, 0.6395], [0.0000, 0.0000, 0.0088], [0.5000, 0.5000, 0.3525]]}

***

12.
{"formula": "FePSe2", "functional": "GGA-PBE", "state": "relaxed", "dft_energy_ev_per_atom": -4.735, "formation_energy_uncorrected_mev_per_atom": 476, "rho_g_cm3": 6.2, "lattice_angstrom": [[3.1393, 0.0000, 0.0000], [0.0000, 3.1393, 0.0000], [0.0000, 0.0000, 6.6249]], "species": ["Fe", "P", "Se", "Se"], "frac_coords": [[0.5000, 0.5000, 0.2500], [0.5000, 0.5000, 0.7500], [0.0000, 0.0000, 0.0244], [0.0000, 0.0000, 0.4756]]}